BaGaPd2: optimized geometry, GGA-PBE.

The structure in extended XYZ format:
```
16
Lattice="-2.7109 -0.1416 3.5697 -4.9884 -4.1768 -3.9539 5.0421 -9.2975 3.4602" Properties=species:S:1:pos:R:3 pbc="T T T"
Ba -3.4026 -6.2571 1.3934
Ba -2.1201 -1.9342 2.5388
Ba 0.7453 -7.3588 1.6826
Ba -0.5372 -11.6816 0.5373
Ga 1.1749 -3.6739 2.1550
Ga -3.8321 -9.9420 0.9211
Ga -2.6693 -3.2729 -0.7484
Ga 0.0121 -10.3429 3.8245
Pd -5.0365 -3.5904 0.2584
Pd 2.3792 -10.0255 2.8177
Pd -0.7444 -4.8172 3.4691
Pd -1.9128 -8.7987 -0.3931
Pd 1.2324 -8.3246 4.8312
Pd -0.7888 -4.3214 0.6381
Pd -1.8684 -9.2944 2.4380
Pd -3.8896 -5.2913 -1.7552
```

Its formation energy is -0.647 eV per atom. The value obtained for the total energy is -0.165 Ha/atom.


BaGaPd: optimized geometry, GGA-PBE.

The structure in extended XYZ format:
```
6
Lattice="-0.2370 -4.3047 1.8465 3.5451 1.0436 2.8879 -5.1087 2.5726 5.3416" Properties=species:S:1:pos:R:3 pbc="T T T"
Ba 0.7929 1.0151 2.4682
Ba -4.2476 -0.0731 5.2406
Ga -1.5205 2.1801 4.8871
Ga -1.9342 -1.2380 2.8217
Pd -2.5544 1.2863 2.6708
Pd -0.9003 -0.3443 5.0380
```

Its formation energy is -0.598 eV per atom. The value obtained for the total energy is -0.146 Ha/atom.


BaGa4Pd2: optimized geometry, GGA-PBE.

The structure in extended XYZ format:
```
7
Lattice="-2.2975 5.2501 4.8644 -1.8769 0.0317 7.2788 2.0037 2.9828 6.0979" Properties=species:S:1:pos:R:3 pbc="T T T"
Pd -0.1522 4.7897 10.3790
Pd -2.0185 3.4748 7.8621
Ba 0.0000 0.0000 0.0000
Ga -0.1649 5.2300 7.6930
Ga -2.0058 3.0346 10.5480
Ga -2.2282 5.7939 9.2714
Ga 0.0575 2.4706 8.9697
```

Its formation energy is -0.474 eV per atom. The value obtained for the total energy is -0.146 Ha/atom.


Ba2Ga5Pd: optimized geometry, GGA-PBE.

The structure in extended XYZ format:
```
8
Lattice="-5.1836 -1.9200 -4.2513 6.7577 0.4593 -1.6587 2.8493 -3.8626 5.0588" Properties=species:S:1:pos:R:3 pbc="T T T"
Ba 1.0167 -3.6649 1.1766
Ba 2.9709 -1.5040 -2.1821
Ga 4.4604 -3.2231 0.5215
Ga 5.4814 -0.6938 0.1683
Ga 3.7719 -2.5842 3.1065
Ga -0.3907 -1.9749 -1.4980
Ga 2.8329 -1.0036 1.0026
Pd 0.4439 -0.1572 0.1571
```

Its formation energy is -0.368 eV per atom. The value obtained for the total energy is -0.125 Ha/atom. For the offset from the most stable computed form, the calculation gives 107.3 meV per atom.


Ba3Ga2Pd: optimized geometry, GGA-PBE.

The structure in extended XYZ format:
```
24
Lattice="4.4982 0.0000 0.0000 0.0000 14.2606 0.0000 0.0000 0.0000 13.2610" Properties=species:S:1:pos:R:3 pbc="T T T"
Ba 1.1245 5.3857 0.8777
Ba 3.3736 8.8748 12.3833
Ba 3.3736 12.5160 5.7528
Ba 1.1245 1.7445 7.5082
Ba 1.1245 10.0507 2.6429
Ba 3.3736 4.2098 10.6181
Ba 3.3736 2.9204 3.9876
Ba 1.1245 11.3401 9.2734
Ba 1.1245 6.4201 5.0766
Ba 3.3736 7.8404 8.1844
Ba 3.3736 13.5504 1.5539
Ba 1.1245 0.7101 11.7071
Ga 1.1245 9.7663 6.0237
Ga 3.3736 4.4943 7.2373
Ga 3.3736 2.6360 0.6068
Ga 1.1245 11.6246 12.6542
Ga 1.1245 0.3228 3.9037
Ga 3.3736 13.9378 9.3572
Ga 3.3736 7.4531 2.7267
Ga 1.1245 6.8075 10.5342
Pd 1.1245 1.9188 1.6998
Pd 3.3736 12.3417 11.5612
Pd 3.3736 9.0491 4.9307
Pd 1.1245 5.2114 8.3303
```

Its formation energy is -0.414 eV per atom. The value obtained for the total energy is -0.119 Ha/atom.


BaGaPd4: optimized geometry, GGA-PBE.

The structure in extended XYZ format:
```
12
Lattice="4.0786 0.0000 0.0000 0.0000 7.5691 0.0000 0.0000 0.0000 7.8821" Properties=species:S:1:pos:R:3 pbc="T T T"
Ba 0.0000 4.7784 5.9116
Ba 0.0000 2.7907 1.9705
Ga 0.0000 1.5015 5.9116
Ga 0.0000 6.0676 1.9705
Pd 0.0000 0.0000 3.9410
Pd 0.0000 0.0000 0.0000
Pd 2.0393 7.2132 5.9116
Pd 2.0393 0.3559 1.9705
Pd 2.0393 5.5201 0.4938
Pd 2.0393 2.0490 7.3883
Pd 2.0393 5.5201 3.4473
Pd 2.0393 2.0490 4.4348
```

Its formation energy is -0.478 eV per atom. The value obtained for the total energy is -0.175 Ha/atom.


BaGa4Pd3: optimized geometry, GGA-PBE.

The structure in extended XYZ format:
```
8
Lattice="-3.3848 2.8679 -0.0372 -2.4455 -2.9158 -2.2806 -2.8335 -3.2509 7.1948" Properties=species:S:1:pos:R:3 pbc="T T T"
Pd 0.0000 0.0000 0.0000
Pd -3.8357 -1.0800 1.1785
Pd -4.8281 -2.2187 3.6985
Ba -1.4168 -1.6254 3.5974
Ga -1.7001 -2.0055 0.0717
Ga -3.5789 -4.1611 4.8425
Ga -4.0486 -1.2693 5.9642
Ga -2.1697 0.8864 1.1934
```

Its formation energy is -0.556 eV per atom. The value obtained for the total energy is -0.156 Ha/atom.


Ba2Ga4Pd3: optimized geometry, GGA-PBE.

The structure in extended XYZ format:
```
9
Lattice="-0.4710 5.4351 2.1574 0.9297 -4.5311 3.6084 6.7241 0.4247 -3.5736" Properties=species:S:1:pos:R:3 pbc="T T T"
Ba 2.1630 0.6958 2.6909
Ba 5.0198 0.6329 -0.4986
Ga 5.4176 -2.6525 -0.0152
Ga 4.4964 3.9025 -0.9695
Ga 1.7652 3.9812 2.2075
Ga 2.6864 -2.5738 3.1618
Pd -0.2355 2.7175 1.0787
Pd 0.0000 0.0000 0.0000
Pd 0.4648 -2.2656 1.8042
```

Its formation energy is -0.511 eV per atom. The value obtained for the total energy is -0.148 Ha/atom.


Ba3Ga5Pd2: optimized geometry, GGA-PBE.

The structure in extended XYZ format:
```
20
Lattice="6.8065 0.0000 0.0000 3.4033 8.7449 -0.3196 3.4033 2.0125 8.5162" Properties=species:S:1:pos:R:3 pbc="T T T"
Ba 1.7016 0.0000 0.0000
Ba 5.1049 0.0000 0.0000
Ba 6.8065 5.2654 7.2126
Ba 6.8065 5.4920 0.9839
Ba 10.2098 8.3513 3.1626
Ba 3.4033 2.4061 5.0340
Ga 5.1049 5.3787 4.0983
Ga 8.5082 5.3787 4.0983
Ga 8.5082 8.0560 6.1382
Ga 8.5082 2.7015 2.0584
Ga 5.1049 2.7015 2.0584
Ga 5.1049 8.0560 6.1382
Ga 3.4033 4.9996 1.9628
Ga 10.2098 5.7578 6.2338
Ga 6.8065 3.2192 4.2995
Ga 6.8065 7.5382 3.8971
Pd 6.8065 8.1925 8.1919
Pd 6.8065 2.5649 0.0046
Pd 10.2098 10.0723 5.7249
Pd 3.4033 0.6851 2.4717
```

Its formation energy is -0.462 eV per atom. The value obtained for the total energy is -0.132 Ha/atom.


Ba3GaPd: optimized geometry, GGA-PBE.

The structure in extended XYZ format:
```
5
Lattice="6.1231 0.0000 0.0000 0.0000 6.1231 0.0000 0.0000 0.0000 6.1231" Properties=species:S:1:pos:R:3 pbc="T T T"
Ga 3.0615 3.0615 3.0615
Ba 0.0000 3.0615 0.0000
Ba 0.0000 0.0000 3.0615
Ba 3.0615 0.0000 0.0000
Pd 0.0000 0.0000 0.0000
```

Its formation energy is -0.158 eV per atom. The value obtained for the total energy is -0.109 Ha/atom. For the offset from the most stable computed form, the calculation gives 199.2 meV per atom.